Below is a relaxed Co2SnO4 crystal, with properties calculated at the PBE with a Hubbard U level.

Values from the calculation:
crystal system	orthorhombic
uncorrected energy	-172.82	eV per cell
M_tot	23.987	μB/cell
offset from the most stable computed form	0.005	eV/atom

The structure in CIF format:
```
data_Co2SnO4
_cell_length_a 6.087
_cell_length_b 6.305
_cell_length_c 8.787
_cell_angle_alpha 90.00
_cell_angle_beta 90.00
_cell_angle_gamma 90.00
_symmetry_space_group_name_H-M 'I m m a'
_symmetry_Int_Tables_number 74
_symmetry_space_group_name_Hall '-I 2b 2'
loop_
_atom_site_label
_atom_site_type_symbol
_atom_site_fract_x
_atom_site_fract_y
_atom_site_fract_z
_atom_site_occupancy
Co1 Co 0.000 0.250 0.138 1
Co2 Co 0.250 0.250 0.750 1
Sn1 Sn 0.000 0.000 0.500 1
O1 O 0.000 0.018 0.735 1
O2 O 0.233 0.250 0.502 1
```